# Li2Dy3TmSe6 | Alexandria via LeMat-Bulk | GGA-PBE | relaxed
# **Fermi-level density of states**: 0.22 states/eV/atom
# **ΔE_f (raw)**: -1.72 eV per atom
# **Final energy**: -5.308 eV/atom
# **Magnetization**: 0.00 μB per formula unit
data_Li2Dy3TmSe6
_chemical_formula_sum 'Li2 Dy3 Tm1 Se6'
_space_group_name_H-M_alt 'P 1'
_space_group_IT_number 1
_cell_length_a 6.9621
_cell_length_b 6.9621
_cell_length_c 6.9763
_cell_angle_alpha 99.57
_cell_angle_beta 99.57
_cell_angle_gamma 119.98
loop_
_space_group_symop_operation_xyz
'x,y,z'
loop_
_atom_site_label
_atom_site_type_symbol
_atom_site_fract_x
_atom_site_fract_y
_atom_site_fract_z
Se1 Se 0.7436 0.7436 0.2410
Dy1 Dy 0.1668 0.8332 0.5000
Li1 Li 0.6673 0.3327 0.0000
Se2 Se 0.0801 0.4168 0.2398
Li2 Li 0.3327 0.6673 0.0000
Se3 Se 0.2564 0.2564 0.7590
Se4 Se 0.9199 0.5832 0.7602
Dy2 Dy 0.8332 0.1668 0.5000
Se5 Se 0.5832 0.9199 0.7602
Dy3 Dy 0.5000 0.5000 0.5000
Tm1 Tm 0.0000 0.0000 0.0000
Se6 Se 0.4168 0.0801 0.2398